Material: Mg2Zr2Hg3
Method: DFT, GGA-PBE
State: relaxed

```
Mg2Zr2Hg3
1.0
2.461 1.421 7.492
-2.461 1.421 7.492
0.000 -2.842 7.492
Mg Zr Hg
2 2 3
Cartesian
0.000 0.000 1.814 Mg
0.000 0.000 20.664 Mg
0.000 0.000 8.146 Zr
0.000 0.000 14.331 Zr
0.000 0.000 5.233 Hg
0.000 0.000 11.239 Hg
0.000 0.000 17.245 Hg
```

Electronic total energy, eV/cell: -20.93
Formation energy, meV/atom: 38